The following is a SCAN calculation of a PBEsol-optimized structure of Hf3ReAs, from Alexandria.

For the total energy, the calculation gives -55.22 eV per atom. Its formation enthalpy at 0 K is 3.20 eV/f.u. The density of states at the Fermi level comes out at 0.922 states/eV per atom.

The structure belongs to space group Pm-3m (No. 221); the cell edges are 4.772, 4.772 and 4.772 Å and the angles 90.00°, 90.00° and 90.00°. Symmetry generates all atoms from Hf at (0.000, 0.000, 0.500), Re at (0.500, 0.500, 0.500) and As at (0.000, 0.000, 0.000).